Record 1
The following is a PBE calculation of a geometry-optimized K3Tb2UTe6 structure, from Alexandria.

Lattice parameters (Å, degrees): 7.8403 7.8403 8.6637 98.68 98.68 120.00
With the nearest neighbours (Å) after each atom.
Atoms (fractional coordinates):
Te  0.4069  0.0702  0.2107  2 Tb 3.13, 1 U 3.16
K  0.5000  0.5000  0.5000  6 Te 3.52-3.55
K  0.8338  0.1662  0.5000  6 Te 3.53-3.55
U  0.0000  0.0000  0.0000  6 Te 3.16
Te  0.7336  0.7336  0.2108  2 Tb 3.13, 1 U 3.16
Te  0.9298  0.5931  0.7893  2 Tb 3.13, 1 U 3.16
Tb  0.3334  0.6666  0.0000  6 Te 3.13
K  0.1662  0.8338  0.5000  6 Te 3.53-3.55
Te  0.0702  0.4069  0.2107  2 Tb 3.13, 1 U 3.16
Te  0.5931  0.9298  0.7893  2 Tb 3.13, 1 U 3.16
Tb  0.6666  0.3334  0.0000  6 Te 3.13
Te  0.2663  0.2663  0.7892  2 Tb 3.13, 1 U 3.16

Properties
- symmetry = C2/m (12)
- electronic total energy (eV per atom) = -4.765
- uncorrected formation energy (eV per atom) = -1.207
- N(E_F) (states/eV per atom) = 0.826
- spin magnetization (μB/cell) = 3.01

***

Record 2
The following is a PBE calculation of a geometry-optimized K3TbU2Te6 structure, from Alexandria.

Lattice parameters (Å, degrees): 7.8025 7.8025 8.6865 98.61 98.61 120.00
With the nearest neighbours (Å) after each atom.
Atoms (fractional coordinates):
K  0.8331  0.1669  0.5000  6 Te 3.53-3.54
Tb  0.0000  0.0000  0.0000  6 Te 3.13
Te  0.4023  0.0705  0.2114  1 Tb 3.13, 2 U 3.14
K  0.5000  0.5000  0.5000  6 Te 3.53-3.54
Te  0.5977  0.9295  0.7886  1 Tb 3.13, 2 U 3.14
K  0.1669  0.8331  0.5000  6 Te 3.53-3.54
Te  0.9295  0.5977  0.7886  1 Tb 3.13, 2 U 3.14
U  0.6667  0.3333  0.0000  6 Te 3.14
Te  0.2615  0.2615  0.7886  1 Tb 3.13, 2 U 3.14
Te  0.7385  0.7385  0.2114  1 Tb 3.13, 2 U 3.14
U  0.3333  0.6667  0.0000  6 Te 3.14
Te  0.0705  0.4023  0.2114  1 Tb 3.13, 2 U 3.14

Properties
- symmetry = C2/m (12)
- electronic total energy (eV per atom) = -5.136
- uncorrected formation energy (eV per atom) = -1.024
- N(E_F) (states/eV per atom) = 1.144
- spin magnetization (μB/cell) = 6.01

***

Record 3
The following is a PBE calculation of a geometry-optimized K3Tb3UTe8 structure, from Alexandria.

Lattice parameters (Å, degrees): 8.9277 8.9284 9.8394 117.00 90.00 120.00
With the nearest neighbours (Å) after each atom.
Atoms (fractional coordinates):
Te  0.2346  0.9712  0.7057  1 U 3.09, 2 Tb 3.10
Te  0.2346  0.4692  0.7057  1 U 3.09, 2 Tb 3.10
U  0.0000  0.0000  0.5000  6 Te 3.09
K  0.0000  0.0000  0.0000  6 Te 3.55-3.56
Tb  0.0000  0.5000  0.5000  6 Te 3.10-3.12
Te  0.2635  0.5271  0.2907  3 Tb 3.12
K  0.0000  0.5000  0.0000  6 Te 3.55-3.56
Te  0.7654  0.5308  0.2943  1 U 3.09, 2 Tb 3.10
Tb  0.5000  0.5000  0.5000  6 Te 3.10-3.12
Tb  0.5000  0.0000  0.5000  6 Te 3.10-3.12
Te  0.7365  0.4729  0.7093  3 Tb 3.12
Te  0.7654  0.0288  0.2943  1 U 3.09, 2 Tb 3.10
K  0.5000  0.5000  0.0000  6 Te 3.55-3.56
Te  0.2634  0.0288  0.2943  1 U 3.09, 2 Tb 3.10
Te  0.7366  0.9712  0.7057  1 U 3.09, 2 Tb 3.10

Properties
- symmetry = R-3m (166)
- electronic total energy (eV per atom) = -4.815
- uncorrected formation energy (eV per atom) = -1.241
- N(E_F) (states/eV per atom) = 0.342
- spin magnetization (μB/cell) = 2.00

***

Record 4
The following is a PBE calculation of a geometry-optimized K3Tb3VTe8 structure, from Alexandria.

Lattice parameters (Å, degrees): 8.6568 8.6693 9.9075 116.00 90.00 119.98
With the nearest neighbours (Å) after each atom.
Atoms (fractional coordinates):
Te  0.2628  0.5255  0.2883  3 Tb 3.09
Te  0.7816  0.5632  0.3051  1 V 2.84, 2 Tb 3.09
K  0.0000  0.0000  0.0000  6 Te 3.51-3.55
K  0.5000  0.5000  0.0000  6 Te 3.51-3.55
Te  0.7582  0.9765  0.6949  1 V 2.84, 2 Tb 3.09
Te  0.7372  0.4745  0.7117  3 Tb 3.09
Te  0.2184  0.4368  0.6949  1 V 2.84, 2 Tb 3.09
V  0.0000  0.0000  0.5000  6 Te 2.84
K  0.0000  0.5000  0.0000  6 Te 3.51-3.55
Tb  0.0000  0.5000  0.5000  6 Te 3.09
Te  0.2418  0.0235  0.3051  1 V 2.84, 2 Tb 3.09
Te  0.2184  0.9765  0.6949  1 V 2.84, 2 Tb 3.09
Te  0.7816  0.0235  0.3051  1 V 2.84, 2 Tb 3.09
Tb  0.5000  0.5000  0.5000  6 Te 3.09
Tb  0.5000  0.0000  0.5000  6 Te 3.09

Properties
- symmetry = C2/m (12)
- electronic total energy (eV per atom) = -4.533
- uncorrected formation energy (eV per atom) = -1.104
- N(E_F) (states/eV per atom) = 0.544
- spin magnetization (μB/cell) = 1.32

***

Record 5
The following is a PBE calculation of a geometry-optimized K3TbY2Te6 structure, from Alexandria.

Lattice parameters (Å, degrees): 7.7987 7.7987 8.6454 98.65 98.65 120.00
With the nearest neighbours (Å) after each atom.
Atoms (fractional coordinates):
Y  0.3334  0.6666  0.0000  6 Te 3.12
Te  0.2643  0.2643  0.7910  2 Y 3.12, 1 Tb 3.12
K  0.5000  0.5000  0.5000  6 Te 3.53-3.54
Te  0.4036  0.0696  0.2090  2 Y 3.12, 1 Tb 3.12
Y  0.6666  0.3334  0.0000  6 Te 3.12
Tb  0.0000  0.0000  0.0000  6 Te 3.12
K  0.1666  0.8334  0.5000  6 Te 3.53-3.54
K  0.8334  0.1666  0.5000  6 Te 3.53-3.54
Te  0.0696  0.4036  0.2090  2 Y 3.12, 1 Tb 3.12
Te  0.5964  0.9304  0.7910  2 Y 3.12, 1 Tb 3.12
Te  0.7357  0.7357  0.2090  2 Y 3.12, 1 Tb 3.12
Te  0.9304  0.5964  0.7910  2 Y 3.12, 1 Tb 3.12

Properties
- symmetry = C2/m (12)
- electronic total energy (eV per atom) = -4.718
- uncorrected formation energy (eV per atom) = -1.410
- spin magnetization (μB/cell) = 0.00

***

Record 6
The following is a PBE calculation of a geometry-optimized K4TbY3Te8 structure, from Alexandria.

Lattice parameters (Å, degrees): 9.0042 9.7476 9.0048 117.53 120.00 90.00
With the nearest neighbours (Å) after each atom.
Atoms (fractional coordinates):
Y  0.5000  0.5000  0.0000  6 Te 3.12
Te  0.7358  0.7090  0.9725  2 Y 3.12, 1 Tb 3.12
Te  0.2637  0.2913  0.5274  3 Y 3.12
K  0.0000  0.0000  0.0000  6 Te 3.54
Y  0.5000  0.5000  0.5000  6 Te 3.12
Te  0.7363  0.7087  0.4726  3 Y 3.12
Te  0.2367  0.7090  0.4733  2 Y 3.12, 1 Tb 3.12
K  0.0000  0.0000  0.5000  6 Te 3.54
Te  0.7633  0.2910  0.0275  2 Y 3.12, 1 Tb 3.12
K  0.5000  0.0000  0.0000  6 Te 3.53
K  0.5000  0.0000  0.5000  6 Te 3.54
Te  0.2642  0.2910  0.0275  2 Y 3.12, 1 Tb 3.12
Y  0.0000  0.5000  0.5000  6 Te 3.12
Tb  0.0000  0.5000  0.0000  6 Te 3.12
Te  0.7633  0.2910  0.5267  2 Y 3.12, 1 Tb 3.12
Te  0.2367  0.7090  0.9725  2 Y 3.12, 1 Tb 3.12

Properties
- symmetry = R-3m (166)
- electronic total energy (eV per atom) = -4.757
- uncorrected formation energy (eV per atom) = -1.410
- spin magnetization (μB/cell) = 0.00